Material: Li5As4Au
Method: DFT, PBE
State: optimized geometry

abc: 2.867 2.867 19.528
angles: 90.00 90.00 90.00
Sites, in units of the cell vectors:
Li 0.000 0.000 0.000
Li 0.000 0.000 0.204
Li 0.000 0.000 0.402
Li 0.000 0.000 0.598
Li 0.000 0.000 0.796
As 0.500 0.500 0.102
As 0.500 0.500 0.306
As 0.500 0.500 0.694
As 0.500 0.500 0.898
Au 0.500 0.500 0.500

* magnetic moment: 0.00 Bohr magnetons per cell
* space group: P4/mmm (123)
* ΔH_f (0 K): -483.4 meV per atom